(1)
An optimized crystal structure of GaCuAu3, computed with PBE.

The structure in POSCAR format:
```
GaCuAu3
1.0
-2.553 3.349 2.408
-3.389 -3.317 1.021
2.351 -1.145 4.085
Au Cu Ga
3 1 1
Cartesian
1.176 -0.572 2.043
-1.694 -1.658 0.510
-1.276 1.674 1.204
0.000 0.000 0.000
-1.795 -0.557 3.757
```

Values from the calculation:
* space group: No. 221
* VASP energy: -14.76 eV per cell
* calculated formation energy: 0.44 eV/atom

(2)
An optimized crystal structure of Ga2Cu2Au7, computed with PBE.

The structure in POSCAR format:
```
Ga2Cu2Au7
1.0
5.859 -0.027 -0.300
-1.334 5.588 -1.308
-0.186 -0.027 5.864
Au Cu Ga
7 2 2
Cartesian
4.893 1.008 2.167
-0.554 4.525 2.088
0.000 0.000 0.000
2.354 4.344 2.308
2.262 1.008 4.850
1.985 1.189 1.947
2.077 4.525 -0.595
3.724 2.766 0.542
0.614 2.766 3.713
3.921 2.813 3.846
0.417 2.720 0.409
```

Values from the calculation:
* space group: No. 12
* VASP energy: -37.47 eV per cell
* calculated formation energy: -0.03 eV/atom

(3)
An optimized crystal structure of GaCu3Au12, computed with PBE.

The structure in POSCAR format:
```
GaCu3Au12
1.0
-0.867 -3.561 1.884
0.961 -2.054 -3.440
15.213 -1.109 4.910
Au Ga Cu
12 1 3
Cartesian
9.960 -1.718 1.340
7.653 -3.362 1.677
11.404 -3.635 2.887
6.214 -1.445 0.131
1.537 -1.924 1.578
2.451 -1.171 -1.084
12.809 -2.745 5.216
5.300 -2.198 2.793
9.045 -2.471 4.002
0.047 -2.807 -0.778
13.723 -1.992 2.554
3.903 -3.088 0.466
0.000 0.000 0.000
7.606 -0.554 2.455
11.337 -0.826 3.660
3.876 -0.282 1.251
```

Values from the calculation:
* space group: No. 123
* VASP energy: -55.06 eV per cell
* calculated formation energy: -0.03 eV/atom

(4)
An optimized crystal structure of GaCu6Au5, computed with PBE.

The structure in POSCAR format:
```
GaCu6Au5
1.0
4.076 0.063 0.013
2.133 6.055 0.007
-0.024 0.000 7.298
Cu Au Ga
6 5 1
Cartesian
4.088 2.043 5.519
2.021 0.032 5.483
4.165 6.087 1.835
2.097 4.075 1.800
4.100 2.043 1.806
2.085 4.075 5.512
2.058 2.046 3.656
2.049 1.988 7.305
4.113 4.130 7.311
-0.012 0.000 3.649
4.127 4.073 3.662
-0.024 0.000 7.298
```

Values from the calculation:
* space group: No. 10
* VASP energy: -44.72 eV per cell
* calculated formation energy: -0.06 eV/atom